No. 1
PBE Yb3Al, optimized geometry; D(E_F) = 33.94 states/eV/cell; symmetry = No. 225; energy of formation = -18.0 kJ per mole of atoms; final energy = -9.07 eV/cell
1.0
-2.125 -4.770 1.380
2.187 -2.869 4.020
-2.635 -0.528 4.685
Yb Al
3 1
direct
0.750 0.750 0.750 Yb
0.250 0.250 0.250 Yb
0.500 0.500 0.500 Yb
0.000 0.000 0.000 Al



No. 2
PBE Yb6Al, optimized geometry; D(E_F) = 94.63 states/eV/cell; symmetry = No. 229; energy of formation = 116.3 kJ per mole of atoms; final energy = -4.46 eV/cell
1.0
-2.478 4.059 7.048
-6.080 0.615 -5.911
1.394 -8.193 1.790
Yb Al
6 1
direct
0.250 0.750 0.500 Yb
0.500 0.750 0.250 Yb
0.250 0.500 0.750 Yb
0.750 0.250 0.500 Yb
0.500 0.250 0.750 Yb
0.750 0.500 0.250 Yb
0.000 0.000 0.000 Al



No. 3
PBE YbAl6, optimized geometry; D(E_F) = 19.57 states/eV/cell; symmetry = No. 229; energy of formation = 40.3 kJ per mole of atoms; final energy = -21.06 eV/cell
1.0
6.266 0.000 0.000
-2.089 5.907 0.000
-2.089 -2.954 5.116
Yb Al
1 6
direct
0.000 0.000 0.000 Yb
0.250 0.750 0.500 Al
0.500 0.750 0.250 Al
0.250 0.500 0.750 Al
0.750 0.250 0.500 Al
0.500 0.250 0.750 Al
0.750 0.500 0.250 Al



No. 4
PBE YbAlZn2, optimized geometry; D(E_F) = 2.36 states/eV/cell; symmetry = No. 225; energy of formation = -27.5 kJ per mole of atoms; final energy = -8.96 eV/cell
1.0
-1.736 4.331 0.530
-1.825 2.265 -3.686
-4.634 0.720 -0.254
Zn Yb Al
2 1 1
direct
0.000 0.000 0.000 Zn
0.500 0.500 0.500 Zn
0.750 0.750 0.750 Yb
0.250 0.250 0.250 Al



No. 5
PBE Al2Zn, optimized geometry; D(E_F) = 1.81 states/eV/cell; symmetry = No. 12; energy of formation = 4.9 kJ per mole of atoms; final energy = -17.21 eV/cell
1.0
-4.668 -2.110 -1.734
-4.212 -3.299 0.791
-4.964 3.915 2.739
Al Zn
4 2
direct
0.998 0.998 0.002 Al
0.335 0.335 0.336 Al
0.610 0.610 0.276 Al
0.946 0.946 0.610 Al
0.665 0.665 0.670 Zn
0.280 0.280 0.941 Zn



No. 6
PBE AlZn5, optimized geometry; D(E_F) = 1.20 states/eV/cell; symmetry = No. 38; energy of formation = 2.7 kJ per mole of atoms; polymorph energy (0 for the lowest one) = 10 meV/atom; final energy = -9.94 eV/cell
1.0
7.798 -0.206 0.000
-7.292 2.772 0.000
0.000 0.000 4.695
Al Zn
1 5
direct
0.991 0.009 0.000 Al
0.320 0.680 0.000 Zn
0.657 0.343 0.000 Zn
0.453 0.547 0.500 Zn
0.788 0.212 0.500 Zn
0.124 0.876 0.500 Zn



Q: The highest energy of formation belongs to which entry?
A: Yb6Al



Q: The highest energy of formation belongs to which entry?
A: Yb6Al